Record 1
DFT (PBE) results for an optimized crystal structure of ScCdSb.

Calculated values
ΔE to the lowest computed polymorph = 0.2331 eV per atom
Density = 6.28 g/cm3
Size of the total moment = 0.000 μB per cell
E_form (uncorrected) = -0.17 eV per atom

Cell: 3.3455 3.3455 7.6192 Å, 90.00 90.00 120.00°
Space group P3m1 (No. 156)
Asymmetric unit:
1 Sc 0.0000 0.0000 0.0000 [1 per cell]
2 Cd 0.6667 0.3333 0.3191 [1 per cell]
3 Sb 0.3333 0.6667 0.6889 [1 per cell]

=====

Record 2
DFT (PBE) results for an optimized crystal structure of ScCdSb2Te.

Calculated values
ΔE to the lowest computed polymorph = 0.0000 eV per atom
Density = 5.23 g/cm3
Size of the total moment = 0.000 μB per cell
E_form (uncorrected) = 0.09 eV per atom

Cell: 5.5233 5.5233 5.5001 Å, 90.00 90.00 90.00°
Space group P4/mmm (No. 123)
Asymmetric unit:
1 Sc 0.0000 0.0000 0.0000 [1 per cell]
2 Cd 0.5000 0.5000 0.5000 [1 per cell]
3 Sb 0.0000 0.5000 0.0000 [2 per cell]
4 Te 0.0000 0.0000 0.5000 [1 per cell]

=====

Record 3
DFT (PBE) results for an optimized crystal structure of Cd4SbSe.

Calculated values
Density = 7.48 g/cm3
Size of the total moment = 0.000 μB per cell
E_form (uncorrected) = 0.16 eV per atom

Cell: 8.3287 8.3287 8.3287 Å, 90.00 90.00 90.00°
Space group F-43m (No. 216)
Asymmetric unit:
1 Cd 0.1253 0.1253 0.1253 [16 per cell]
2 Sb 0.2500 0.2500 0.7500 [4 per cell]
3 Se 0.0000 0.0000 0.5000 [4 per cell]

=====

Record 4
DFT (PBE) results for an optimized crystal structure of CdSbSe.

Calculated values
ΔE to the lowest computed polymorph = 0.2216 eV per atom
Density = 6.61 g/cm3
Size of the total moment = 0.000 μB per cell
E_form (uncorrected) = -0.13 eV per atom

Cell: 4.0957 6.7530 6.8975 Å, 61.12 73.36 72.83°
Space group P-1 (No. 2)
Asymmetric unit:
1 Cd 0.1481 0.0151 0.1798 [2 per cell]
2 Sb 0.3329 0.5099 0.3253 [2 per cell]
3 Se 0.0000 0.5000 0.0000 [1 per cell]
4 Se 0.5000 0.0000 0.5000 [1 per cell]

=====

Record 5
DFT (PBE) results for an optimized crystal structure of CdSbSe.

Calculated values
ΔE to the lowest computed polymorph = 0.0000 eV per atom
Density = 5.63 g/cm3
Size of the total moment = 0.000 μB per cell
E_form (uncorrected) = -0.36 eV per atom

Cell: 7.5188 4.3452 11.5845 Å, 90.00 102.50 90.00°
Space group Cm (No. 8)
Asymmetric unit:
1 Cd 0.0000 0.0000 0.0000 [2 per cell]
2 Cd 0.2280 0.0000 0.6801 [2 per cell]
3 Sb 0.0874 0.0000 0.2564 [2 per cell]
4 Sb 0.4658 0.0000 0.3911 [2 per cell]
5 Se 0.3070 0.0000 0.9201 [2 per cell]
6 Se 0.3654 0.5000 0.5927 [2 per cell]

=====

Record 6
DFT (PBE) results for an optimized crystal structure of CdSbSe.

Calculated values
ΔE to the lowest computed polymorph = 0.3144 eV per atom
Density = 6.69 g/cm3
Size of the total moment = 0.000 μB per cell
E_form (uncorrected) = -0.04 eV per atom

Cell: 4.0075 4.0075 5.5840 Å, 90.00 90.00 120.00°
Space group P3m1 (No. 156)
Asymmetric unit:
1 Cd 0.0000 0.0000 0.0000 [1 per cell]
2 Sb 0.6667 0.3333 0.3567 [1 per cell]
3 Se 0.3333 0.6667 0.7002 [1 per cell]